No. 1
# PBE InTe2MoPd, relaxed
data_InTe2MoPd
_chemical_formula_sum 'In1 Te2 Mo1 Pd1'
_cell_length_a 5.269
_cell_length_b 5.062
_cell_length_c 5.269
_cell_angle_alpha 90.00
_cell_angle_beta 90.00
_cell_angle_gamma 90.00
_symmetry_space_group_name_H-M 'P 1'
_symmetry_Int_Tables_number 1
loop_
_symmetry_equiv_pos_as_xyz
'x,y,z'
loop_
_atom_site_label
_atom_site_fract_x
_atom_site_fract_y
_atom_site_fract_z
Pd1 0.000 0.500 0.000
Te1 0.000 0.000 0.500
In1 0.500 0.500 0.500
Te2 0.500 0.000 0.000
Mo1 0.000 0.000 0.000
# DFT total energy: -23.015 eV per cell
# Space-group type: P4/mmm
# Formation energy without anion corrections: 406 meV/atom
# DOS at the Fermi energy: 3.1 states/eV/cell
# Size of the total moment: 0.000 μB/f.u.

---

No. 2
# PBE InMoPd2W, relaxed
data_InMoPd2W
_chemical_formula_sum 'In1 Mo1 Pd2 W1'
_cell_length_a 4.670
_cell_length_b 5.039
_cell_length_c 4.670
_cell_angle_alpha 90.00
_cell_angle_beta 90.00
_cell_angle_gamma 90.00
_symmetry_space_group_name_H-M 'P 1'
_symmetry_Int_Tables_number 1
loop_
_symmetry_equiv_pos_as_xyz
'x,y,z'
loop_
_atom_site_label
_atom_site_fract_x
_atom_site_fract_y
_atom_site_fract_z
Pd1 0.500 0.000 0.000
In1 0.000 0.000 0.000
Pd2 0.000 0.000 0.500
Mo1 0.500 0.500 0.500
W1 0.000 0.500 0.000
# DFT total energy: -26.983 eV per cell
# Space-group type: P4/mmm
# DOS at the Fermi energy: 7.7 states/eV/cell
# Size of the total moment: 0.000 μB/f.u.

---

No. 3
# PBE ZrIn2MoPd, relaxed
data_ZrIn2MoPd
_chemical_formula_sum 'Zr1 In2 Mo1 Pd1'
_cell_length_a 5.504
_cell_length_b 4.844
_cell_length_c 5.504
_cell_angle_alpha 90.00
_cell_angle_beta 90.00
_cell_angle_gamma 90.00
_symmetry_space_group_name_H-M 'P 1'
_symmetry_Int_Tables_number 1
loop_
_symmetry_equiv_pos_as_xyz
'x,y,z'
loop_
_atom_site_label
_atom_site_fract_x
_atom_site_fract_y
_atom_site_fract_z
In1 0.000 0.000 0.500
In2 0.500 0.000 0.000
Pd1 0.000 0.500 0.000
Zr1 0.000 0.000 0.000
Mo1 0.500 0.500 0.500
# DFT total energy: -23.484 eV per cell
# Space-group type: P4/mmm
# DOS at the Fermi energy: 4.0 states/eV/cell
# Size of the total moment: 3.738 μB/f.u.